Record 1
Compound: KCdRh2
Source: Alexandria
Functional: PBE-GGA
Structure: optimized geometry

Summary:
DFT total energy: -3.755 eV per atom
volume: 18.8 Å³/atom
crystal system: trigonal
symmetry: R-3m
calculated formation energy: 0.423 eV per atom
total moment: 0.671 μB per cell

Cell lengths 10.0763, 10.0763, 10.0763 Å; angles 16.86, 16.86, 16.86 degrees
Fractional coordinates of all 4 atoms:
K 0.0000 0.0000 0.0000
Cd 0.5000 0.5000 0.5000
Rh 0.2415 0.2415 0.2415
Rh 0.7585 0.7585 0.7585


Record 2
Compound: KCdRh3
Source: Alexandria
Functional: PBE-GGA
Structure: optimized geometry

Summary:
energy above the lowest structure with this stoichiometry: 0.0 meV/atom
DFT total energy: -3.549 eV per atom
volume: 25.7 Å³/atom
crystal system: cubic
symmetry: Pm-3m
calculated formation energy: 1.264 eV per atom
total moment: 2.397 μB per cell

Cell lengths 5.0482, 5.0482, 5.0482 Å; angles 90.00, 90.00, 90.00 degrees
Fractional coordinates of all 5 atoms:
K 0.0000 0.0000 0.0000
Cd 0.5000 0.5000 0.5000
Rh 0.0000 0.5000 0.5000
Rh 0.5000 0.0000 0.5000
Rh 0.5000 0.5000 0.0000


Record 3
Compound: KCdRh2
Source: Alexandria
Functional: PBE-GGA
Structure: optimized geometry

Summary:
DFT total energy: -3.732 eV per atom
volume: 19.6 Å³/atom
crystal system: tetragonal
symmetry: P4/mmm
calculated formation energy: 0.447 eV per atom
total moment: 1.030 μB per cell

Cell lengths 2.9163, 2.9163, 9.2077 Å; angles 90.00, 90.00, 90.00 degrees
Fractional coordinates of all 4 atoms:
K 0.0000 0.0000 0.0000
Cd 0.0000 0.0000 0.5000
Rh 0.5000 0.5000 0.2860
Rh 0.5000 0.5000 0.7140


Record 4
Compound: KCdRh
Source: Alexandria
Functional: PBE-GGA
Structure: optimized geometry

Summary:
energy above the lowest structure with this stoichiometry: 266.7 meV/atom
DFT total energy: -2.692 eV per atom
volume: 22.7 Å³/atom
crystal system: trigonal
symmetry: P3m1
calculated formation energy: 0.429 eV per atom
total moment: 0.377 μB per cell

Cell lengths 5.1263, 5.1263, 2.9918 Å; angles 90.00, 90.00, 120.00 degrees
Fractional coordinates of all 3 atoms:
K 0.0000 0.0000 0.0000
Cd 0.3333 0.6667 0.4981
Rh 0.6667 0.3333 0.5044


Record 5
Compound: KCd3Rh
Source: Alexandria
Functional: PBE-GGA
Structure: optimized geometry

Summary:
energy above the lowest structure with this stoichiometry: 150.2 meV/atom
DFT total energy: -2.204 eV per atom
volume: 23.4 Å³/atom
crystal system: monoclinic
symmetry: C2/m
calculated formation energy: 0.035 eV per atom
total moment: 0.000 μB per cell

Cell lengths 5.8333, 5.8333, 9.1313 Å; angles 115.08, 115.08, 59.50 degrees
Fractional coordinates of all 10 atoms:
K 0.1530 0.1530 0.1714
K 0.8470 0.8470 0.8286
Cd 0.1464 0.1464 0.7850
Cd 0.2616 0.2616 0.5488
Cd 0.4436 0.4436 0.1419
Cd 0.5564 0.5564 0.8581
Cd 0.7384 0.7384 0.4512
Cd 0.8536 0.8536 0.2150
Rh 0.2753 0.7247 0.5000
Rh 0.7247 0.2753 0.5000


Record 6
Compound: KCd3Rh
Source: Alexandria
Functional: PBE-GGA
Structure: optimized geometry

Summary:
energy above the lowest structure with this stoichiometry: 92.9 meV/atom
DFT total energy: -2.261 eV per atom
volume: 25.7 Å³/atom
crystal system: monoclinic
symmetry: C2/c
calculated formation energy: -0.022 eV per atom
total moment: 0.000 μB per cell

Cell lengths 8.3841, 8.3841, 8.2657 Å; angles 107.06, 107.06, 71.46 degrees
Fractional coordinates of all 20 atoms:
K 0.0951 0.9049 0.7500
K 0.2612 0.7388 0.2500
K 0.7388 0.2612 0.7500
K 0.9049 0.0951 0.2500
Cd 0.0960 0.3472 0.0745
Cd 0.1673 0.4218 0.4515
Cd 0.3472 0.0960 0.5745
Cd 0.3493 0.5141 0.8516
Cd 0.4218 0.1673 0.9515
Cd 0.4859 0.6507 0.6484
Cd 0.5141 0.3493 0.3516
Cd 0.5782 0.8327 0.0485
Cd 0.6507 0.4859 0.1484
Cd 0.6528 0.9040 0.4255
Cd 0.8327 0.5782 0.5485
Cd 0.9040 0.6528 0.9255
Rh 0.1010 0.3514 0.7390
Rh 0.3514 0.1010 0.2390
Rh 0.6486 0.8990 0.7610
Rh 0.8990 0.6486 0.2610